The following is a DFT calculation (PBE) of an optimized crystal structure of Co2CuAs.

Unit cell a=2.7640 b=2.7640 c=22.6575 alpha=90.00 beta=90.00 gamma=120.00
Closest atoms and distances in Å follow each position.
Space group R-3m (No. 166, hexagonal axes)
One atom of each set of equivalent atoms:
Co (0.0000, 0.0000, 0.2456) x6  3 As 2.40, 3 Cu 2.55
Cu (0.0000, 0.0000, 0.0000) x3  6 Co 2.55, 6 Cu 2.76
As (0.0000, 0.0000, 0.5000) x3  6 Co 2.40

Calculated formation energy   219 meV/atom

The following is a DFT calculation (PBE) of an optimized crystal structure of Ti3Pt5.

Unit cell a=5.5652 b=7.8542 c=11.3613 alpha=90.00 beta=90.00 gamma=90.00
Closest atoms and distances in Å follow each position.
Space group Fmmm (No. 69)
One atom of each set of equivalent atoms:
Ti (0.0000, 0.0000, 0.0000) x4  10 Pt 2.78-2.81, 2 Ti 2.98
Ti (0.0000, 0.0000, 0.2625) x8  9 Pt 2.70-2.85, 3 Ti 2.80-2.98
Pt (0.0000, 0.0000, 0.5000) x4  4 Ti 2.70-2.78, 8 Pt 2.81
Pt (0.2500, 0.2500, 0.1275) x16  6 Ti 2.71-2.85, 6 Pt 2.78-2.90

Calculated formation energy   -894 meV/atom

The following is a DFT calculation (PBE) of an optimized crystal structure of TlCd3W.

Unit cell a=5.4913 b=5.4913 c=5.4913 alpha=90.00 beta=90.00 gamma=90.00
Closest atoms and distances in Å follow each position.
Space group Pm-3m (No. 221)
One atom of each set of equivalent atoms:
Tl (0.0000, 0.0000, 0.0000) x1  6 Cd 2.75
Cd (0.0000, 0.0000, 0.5000) x3  2 Tl 2.75
W (0.5000, 0.5000, 0.5000) x1  12 Cd 3.88

Calculated formation energy   1631 meV/atom

The following is a DFT calculation (PBE) of an optimized crystal structure of MnCoTc2.

Unit cell a=5.9950 b=5.9950 c=5.9950 alpha=90.00 beta=90.00 gamma=90.00
Closest atoms and distances in Å follow each position.
Space group F-43m (No. 216)
One atom of each set of equivalent atoms:
Mn (0.0000, 0.0000, 0.0000) x4  4 Co 2.60, 4 Tc 2.60
Co (0.2500, 0.2500, 0.2500) x4  4 Mn 2.60, 4 Tc 2.60
Tc (0.0000, 0.0000, 0.5000) x4  4 Co 2.60, 4 Tc 2.60
Tc (0.2500, 0.2500, 0.7500) x4  4 Mn 2.60, 4 Tc 2.60

Calculated formation energy   150 meV/atom

What energy values result from the calculations? In sequence: -66.25 -244.15 -9.91 -145.63 eV per cell.